--- w ---
Material: KCrPd3
Method: DFT, GGA-PBE
State: relaxed

Computed properties:
As for the magnetic moment: 0.000 μB per atom. The crystal system is cubic.

Unit cell a=4.733 b=4.733 c=4.733 alpha=90.00 beta=90.00 gamma=90.00
Sites, in units of the cell vectors:
K 0.000 0.000 0.000
Cr 0.500 0.500 0.500
Pd 0.000 0.500 0.500
Pd 0.500 0.000 0.500
Pd 0.500 0.500 0.000

=====

--- x ---
Material: KCrPd3
Method: DFT, GGA-PBE
State: relaxed

Computed properties:
As for the magnetic moment: 0.171 μB per atom. The crystal system is cubic.

Unit cell a=4.876 b=4.876 c=4.876 alpha=90.00 beta=90.00 gamma=90.00
Sites, in units of the cell vectors:
K 0.000 0.000 0.000
Cr 0.500 0.500 0.500
Pd 0.000 0.000 0.500
Pd 0.000 0.500 0.000
Pd 0.500 0.000 0.000

=====

Stability summary: most stable w, least stable x.

=====

--- w ---
Material: KCr2Pt
Method: DFT, GGA-PBE
State: relaxed

Computed properties:
As for the magnetic moment: 1.939 μB per atom. The crystal system is monoclinic.

Unit cell a=4.553 b=4.553 c=7.291 alpha=94.91 beta=94.91 gamma=37.58
Sites, in units of the cell vectors:
K 0.000 0.000 0.000
Cr 0.231 0.231 0.651
Cr 0.769 0.769 0.349
Pt 0.500 0.500 0.500

=====

--- x ---
Material: KCr2Pt
Method: DFT, GGA-PBE
State: relaxed

Computed properties:
As for the magnetic moment: 0.062 μB per atom. The crystal system is monoclinic.

Unit cell a=4.760 b=4.760 c=7.053 alpha=98.21 beta=98.21 gamma=35.39
Sites, in units of the cell vectors:
K 0.000 0.000 0.000
Cr 0.506 0.506 0.497
Cr 0.799 0.799 0.401
Pt 0.228 0.228 0.675

=====

--- y ---
Material: KCr2Pt
Method: DFT, GGA-PBE
State: relaxed

Computed properties:
As for the magnetic moment: 0.000 μB per atom. The crystal system is monoclinic.

Unit cell a=2.763 b=4.329 c=6.917 alpha=90.00 beta=93.57 gamma=90.00
Sites, in units of the cell vectors:
K 0.000 0.000 0.000
Cr 0.060 0.500 0.632
Cr 0.940 0.500 0.368
Pt 0.500 0.000 0.500

=====

Stability summary: most stable x, least stable w.

=====

--- w ---
Material: K2CrPt2
Method: DFT, GGA-PBE
State: relaxed

Computed properties:
As for the magnetic moment: 0.166 μB per atom. The crystal system is tetragonal.

Unit cell a=9.140 b=9.140 c=2.733 alpha=90.00 beta=90.00 gamma=90.00
Sites, in units of the cell vectors:
K 0.115 0.385 0.000
K 0.385 0.885 0.000
K 0.615 0.115 0.000
K 0.885 0.615 0.000
Cr 0.000 0.000 0.000
Cr 0.500 0.500 0.000
Pt 0.187 0.687 0.500
Pt 0.313 0.187 0.500
Pt 0.687 0.813 0.500
Pt 0.813 0.313 0.500

=====

--- x ---
Material: K2CrPt2
Method: DFT, GGA-PBE
State: relaxed

Computed properties:
As for the magnetic moment: 0.020 μB per atom. The crystal system is tetragonal.

Unit cell a=11.500 b=11.500 c=11.500 alpha=161.90 beta=161.90 gamma=25.70
Sites, in units of the cell vectors:
K 0.125 0.125 0.000
K 0.875 0.875 0.000
Cr 0.500 0.500 0.000
Pt 0.250 0.750 0.500
Pt 0.750 0.250 0.500

=====

Stability summary: most stable x, least stable w.

=====

--- w ---
Material: KCrSiPt2
Method: DFT, GGA-PBE
State: relaxed

Computed properties:
As for the magnetic moment: 0.943 μB per atom. The crystal system is tetragonal.

Unit cell a=4.610 b=4.610 c=5.451 alpha=90.00 beta=90.00 gamma=90.00
Sites, in units of the cell vectors:
K 0.000 0.000 0.000
Cr 0.500 0.500 0.000
Si 0.000 0.000 0.500
Pt 0.000 0.500 0.500
Pt 0.500 0.000 0.500

=====

--- x ---
Material: KCrSiPt2
Method: DFT, GGA-PBE
State: relaxed

Computed properties:
As for the magnetic moment: 0.930 μB per atom. The crystal system is tetragonal.

Unit cell a=5.081 b=5.081 c=4.662 alpha=90.00 beta=90.00 gamma=90.00
Sites, in units of the cell vectors:
K 0.000 0.000 0.000
Cr 0.000 0.000 0.500
Si 0.500 0.500 0.500
Pt 0.000 0.500 0.000
Pt 0.500 0.000 0.000

=====

Stability summary: most stable w, least stable x.

=====

--- w ---
Material: KRb3Cr
Method: DFT, GGA-PBE
State: relaxed

Computed properties:
As for the magnetic moment: 1.134 μB per atom. The crystal system is cubic.

Unit cell a=7.266 b=7.266 c=7.266 alpha=90.00 beta=90.00 gamma=90.00
Sites, in units of the cell vectors:
K 0.000 0.000 0.000
Rb 0.000 0.500 0.500
Rb 0.500 0.000 0.500
Rb 0.500 0.500 0.000
Cr 0.500 0.500 0.500

=====

--- x ---
Material: KRb3Cr
Method: DFT, GGA-PBE
State: relaxed

Computed properties:
As for the magnetic moment: 1.024 μB per atom. The crystal system is cubic.

Unit cell a=7.707 b=7.707 c=7.707 alpha=90.00 beta=90.00 gamma=90.00
Sites, in units of the cell vectors:
K 0.000 0.000 0.000
Rb 0.000 0.000 0.500
Rb 0.000 0.500 0.000
Rb 0.500 0.000 0.000
Cr 0.500 0.500 0.500

=====

Stability summary: most stable w, least stable x.

=====

--- w ---
Material: KRb2Cr
Method: DFT, GGA-PBE
State: relaxed

Computed properties:
As for the magnetic moment: 1.307 μB per atom. The crystal system is cubic.

Unit cell a=6.815 b=6.815 c=6.815 alpha=60.00 beta=60.00 gamma=60.00
Sites, in units of the cell vectors:
K 0.000 0.000 0.000
Rb 0.250 0.250 0.250
Rb 0.750 0.750 0.750
Cr 0.500 0.500 0.500

=====

--- x ---
Material: KRb2Cr
Method: DFT, GGA-PBE
State: relaxed

Computed properties:
As for the magnetic moment: 1.334 μB per atom. The crystal system is tetragonal.

Unit cell a=14.061 b=14.061 c=14.061 alpha=155.56 beta=155.56 gamma=34.84
Sites, in units of the cell vectors:
K 0.000 0.000 0.000
K 0.750 0.250 0.500
Rb 0.152 0.625 0.027
Rb 0.375 0.402 0.527
Rb 0.598 0.125 0.973
Rb 0.875 0.848 0.473
Cr 0.250 0.750 0.500
Cr 0.500 0.500 0.000

=====

Stability summary: most stable w, least stable x.

=====

--- w ---
Material: K2RbCr
Method: DFT, GGA-PBE
State: relaxed

Computed properties:
As for the magnetic moment: 1.335 μB per atom. The crystal system is tetragonal.

Unit cell a=14.148 b=14.148 c=14.148 alpha=156.47 beta=156.47 gamma=33.52
Sites, in units of the cell vectors:
K 0.094 0.625 0.969
K 0.375 0.344 0.469
K 0.656 0.125 0.031
K 0.875 0.906 0.531
Rb 0.250 0.750 0.500
Rb 0.500 0.500 0.000
Cr 0.000 0.000 0.000
Cr 0.750 0.250 0.500

=====

--- x ---
Material: K2RbCr
Method: DFT, GGA-PBE
State: relaxed

Computed properties:
As for the magnetic moment: 1.319 μB per atom. The crystal system is cubic.

Unit cell a=6.639 b=6.639 c=6.639 alpha=60.00 beta=60.00 gamma=60.00
Sites, in units of the cell vectors:
K 0.250 0.250 0.250
K 0.750 0.750 0.750
Rb 0.000 0.000 0.000
Cr 0.500 0.500 0.500

=====

Stability summary: most stable x, least stable w.

=====

--- w ---
Material: KCrRe2
Method: DFT, GGA-PBE
State: relaxed

Computed properties:
As for the magnetic moment: 0.704 μB per atom. The crystal system is cubic.

Unit cell a=4.576 b=4.576 c=4.576 alpha=60.00 beta=60.00 gamma=60.00
Sites, in units of the cell vectors:
K 0.000 0.000 0.000
Cr 0.750 0.750 0.750
Re 0.250 0.250 0.250
Re 0.500 0.500 0.500

=====

--- x ---
Material: KCrRe2
Method: DFT, GGA-PBE
State: relaxed

Computed properties:
As for the magnetic moment: 0.000 μB per atom. The crystal system is trigonal.

Unit cell a=10.311 b=10.311 c=10.311 alpha=15.52 beta=15.52 gamma=15.52
Sites, in units of the cell vectors:
K 0.000 0.000 0.000
Cr 0.500 0.500 0.500
Re 0.233 0.233 0.233
Re 0.767 0.767 0.767

=====

--- y ---
Material: KCrRe2
Method: DFT, GGA-PBE
State: relaxed

Computed properties:
As for the magnetic moment: 0.000 μB per atom. The crystal system is trigonal.

Unit cell a=10.518 b=10.518 c=10.518 alpha=15.21 beta=15.21 gamma=15.21
Sites, in units of the cell vectors:
K 0.000 0.000 0.000
Cr 0.236 0.236 0.236
Re 0.502 0.502 0.502
Re 0.766 0.766 0.766

=====

--- z ---
Material: KCrRe2
Method: DFT, GGA-PBE
State: relaxed

Computed properties:
As for the magnetic moment: 0.004 μB per atom. The crystal system is orthorhombic.

Unit cell a=2.728 b=2.728 c=10.159 alpha=90.00 beta=90.00 gamma=111.70
Sites, in units of the cell vectors:
K 0.000 0.000 0.000
Cr 0.500 0.500 0.303
Re 0.000 0.000 0.490
Re 0.500 0.500 0.707

=====

Stability summary: most stable x, least stable w.

=====

--- w ---
Material: KCrRe2
Method: DFT, GGA-PBE
State: relaxed

Computed properties:
As for the magnetic moment: 0.000 μB per atom. The crystal system is tetragonal.

Unit cell a=2.716 b=2.716 c=9.626 alpha=90.00 beta=90.00 gamma=90.00
Sites, in units of the cell vectors:
K 0.000 0.000 0.000
Cr 0.000 0.000 0.500
Re 0.500 0.500 0.316
Re 0.500 0.500 0.684

=====

--- x ---
Material: KCrRe2
Method: DFT, GGA-PBE
State: relaxed

Computed properties:
As for the magnetic moment: 0.884 μB per atom. The crystal system is orthorhombic.

Unit cell a=2.800 b=4.762 c=5.313 alpha=90.00 beta=90.00 gamma=90.00
Sites, in units of the cell vectors:
K 0.000 0.000 0.000
Cr 0.500 0.500 0.000
Re 0.000 0.500 0.500
Re 0.500 0.000 0.500

=====

Stability summary: most stable w, least stable x.

=====

--- w ---
Material: KCrRh2
Method: DFT, GGA-PBE
State: relaxed

Computed properties:
As for the magnetic moment: 0.064 μB per atom. The crystal system is trigonal.

Unit cell a=9.750 b=9.750 c=9.750 alpha=16.63 beta=16.63 gamma=16.63
Sites, in units of the cell vectors:
K 0.000 0.000 0.000
Cr 0.500 0.500 0.500
Rh 0.234 0.234 0.234
Rh 0.766 0.766 0.766

=====

--- x ---
Material: KCrRh2
Method: DFT, GGA-PBE
State: relaxed

Computed properties:
As for the magnetic moment: 0.748 μB per atom. The crystal system is tetragonal.

Unit cell a=4.828 b=4.828 c=2.967 alpha=90.00 beta=90.00 gamma=90.00
Sites, in units of the cell vectors:
K 0.000 0.000 0.000
Cr 0.500 0.500 0.000
Rh 0.000 0.500 0.500
Rh 0.500 0.000 0.500

=====

--- y ---
Material: KCrRh2
Method: DFT, GGA-PBE
State: relaxed

Computed properties:
As for the magnetic moment: 0.911 μB per atom. The crystal system is orthorhombic.

Unit cell a=2.914 b=4.825 c=4.962 alpha=90.00 beta=90.00 gamma=90.00
Sites, in units of the cell vectors:
K 0.000 0.000 0.000
Cr 0.500 0.000 0.500
Rh 0.000 0.500 0.500
Rh 0.500 0.500 0.000

=====

--- z ---
Material: KCrRh2
Method: DFT, GGA-PBE
State: relaxed

Computed properties:
As for the magnetic moment: 0.057 μB per atom. The crystal system is orthorhombic.

Unit cell a=2.713 b=2.713 c=10.181 alpha=90.00 beta=90.00 gamma=117.14
Sites, in units of the cell vectors:
K 0.000 0.000 0.000
Cr 0.500 0.500 0.699
Rh 0.000 0.000 0.501
Rh 0.500 0.500 0.268

=====

Stability summary: most stable w, least stable y.

=====

--- w ---
Material: KCrRh2
Method: DFT, GGA-PBE
State: relaxed

Computed properties:
As for the magnetic moment: 0.356 μB per atom. The crystal system is tetragonal.

Unit cell a=5.963 b=5.963 c=5.963 alpha=104.88 beta=104.88 gamma=119.10
Sites, in units of the cell vectors:
K 0.000 0.000 0.000
K 0.750 0.250 0.500
Cr 0.250 0.750 0.500
Cr 0.500 0.500 0.000
Rh 0.201 0.625 0.076
Rh 0.375 0.451 0.576
Rh 0.549 0.125 0.924
Rh 0.875 0.799 0.424

=====

--- x ---
Material: KCrRh2
Method: DFT, GGA-PBE
State: relaxed

Computed properties:
As for the magnetic moment: 0.619 μB per atom. The crystal system is monoclinic.

Unit cell a=4.785 b=4.785 c=6.563 alpha=98.14 beta=98.14 gamma=35.11
Sites, in units of the cell vectors:
K 0.000 0.000 0.000
Cr 0.783 0.783 0.399
Rh 0.227 0.227 0.670
Rh 0.500 0.500 0.482

=====

--- y ---
Material: KCrRh2
Method: DFT, GGA-PBE
State: relaxed

Computed properties:
As for the magnetic moment: 0.673 μB per atom. The crystal system is orthorhombic.

Unit cell a=5.916 b=5.916 c=5.916 alpha=152.41 beta=129.42 gamma=58.58
Sites, in units of the cell vectors:
K 0.000 0.000 0.000
Cr 0.711 0.211 0.500
Rh 0.284 0.784 0.500
Rh 0.507 0.507 0.000

=====

--- z ---
Material: KCrRh2
Method: DFT, GGA-PBE
State: relaxed

Computed properties:
As for the magnetic moment: 0.723 μB per atom. The crystal system is orthorhombic.

Unit cell a=5.677 b=5.677 c=5.677 alpha=150.96 beta=125.23 gamma=63.19
Sites, in units of the cell vectors:
K 0.000 0.000 0.000
Cr 0.500 0.500 0.000
Rh 0.286 0.786 0.500
Rh 0.714 0.214 0.500

=====

Stability summary: most stable x, least stable w.